An optimized crystal structure of DyPa2Re9. Source: Alexandria, functional PBE-GGA.

```
DyPa2Re9
1.0
5.045 0.000 1.502
2.299 4.491 1.502
-0.130 -0.079 9.663
Re Pa Dy
9 2 1
Direct
0.665 0.665 0.006
0.416 0.922 0.246
0.922 0.416 0.246
0.500 0.500 0.500
0.078 0.584 0.754
0.335 0.335 0.994
0.584 0.584 0.754
0.416 0.416 0.246
0.584 0.078 0.754
0.853 0.853 0.440
0.147 0.147 0.560
0.000 0.000 0.000
```

Computed properties:
Energy   -136.3 eV per cell
ΔE_f   -0.68 eV/f.u.
Total magnetic moment   0.0 μB per formula unit

---

An optimized crystal structure of DyPaRe4. Source: Alexandria, functional PBE-GGA.

```
DyPaRe4
1.0
5.434 0.000 0.000
2.717 4.706 0.000
2.717 1.569 4.437
Re Pa Dy
4 1 1
Direct
0.126 0.625 0.625
0.625 0.625 0.625
0.625 0.126 0.625
0.625 0.625 0.126
0.000 0.000 0.000
0.250 0.250 0.250
```

Computed properties:
Energy   -64.5 eV per cell
ΔE_f   -0.62 eV/f.u.
Total magnetic moment   0.0 μB per formula unit